A.
# Nb2AlSn

An optimized crystal structure of Nb2AlSn (PBE, Alexandria).

Cell and atoms, written as POSCAR:
```
Nb2AlSn
1.0
-1.1475 -3.3173 -1.9000
2.1440 -2.2008 2.5477
-7.5351 -3.4904 6.4526
Nb Sn Al
4 2 2
direct
0.1313 0.6250 0.2500 Nb
0.6187 0.1250 0.2500 Nb
0.8750 0.8687 0.7500 Nb
0.3750 0.3813 0.7500 Nb
0.0000 0.0000 0.0000 Sn
0.7500 0.2500 0.5000 Sn
0.5000 0.5000 0.0000 Al
0.2500 0.7500 0.5000 Al
```

=====

B.
# Nb2AlSn

An optimized crystal structure of Nb2AlSn (PBE, Alexandria).

Cell and atoms, written as POSCAR:
```
Nb2AlSn
1.0
4.2550 -2.0115 -0.0969
1.2134 -3.1020 3.3266
0.4224 -4.5629 -1.0780
Nb Al Sn
2 1 1
direct
0.2500 0.2500 0.2500 Nb
0.7500 0.7500 0.7500 Nb
0.0000 0.0000 0.0000 Al
0.5000 0.5000 0.5000 Sn
```

=====

C.
# Nb2AlSn

An optimized crystal structure of Nb2AlSn (PBE, Alexandria).

Cell and atoms, written as POSCAR:
```
Nb2AlSn
1.0
4.3444 0.0000 0.0000
0.0000 4.1146 0.0000
0.0000 0.0000 4.1146
Sn Nb Al
1 2 1
direct
0.5000 0.5000 0.5000 Sn
0.0000 0.0000 0.5000 Nb
0.0000 0.5000 0.0000 Nb
0.5000 0.0000 0.0000 Al
```

=====

In order of decreasing stability: C, B, A.

=====

A.
# Nb2AlSn2

An optimized crystal structure of Nb2AlSn2 (PBE, Alexandria).

Cell and atoms, written as POSCAR:
```
Nb2AlSn2
1.0
-1.6216 1.2616 -6.8343
2.3053 -6.5228 -1.7511
-3.7130 -1.4756 0.6086
Nb Sn Al
4 4 2
direct
0.6522 0.1522 0.0000 Nb
0.3478 0.8478 0.0000 Nb
0.8478 0.6522 0.0000 Nb
0.1522 0.3478 0.0000 Nb
0.6522 0.8478 0.5000 Sn
0.8478 0.3478 0.5000 Sn
0.3478 0.1522 0.5000 Sn
0.1522 0.6522 0.5000 Sn
0.0000 0.0000 0.0000 Al
0.5000 0.5000 0.0000 Al
```

=====

B.
# Nb2AlSn2

An optimized crystal structure of Nb2AlSn2 (PBE, Alexandria).

Cell and atoms, written as POSCAR:
```
Nb2AlSn2
1.0
7.2864 0.0000 0.0000
0.0000 7.2864 0.0000
0.0000 0.0000 3.7858
Sn Nb Al
4 4 2
direct
0.6424 0.1424 0.0000 Sn
0.1424 0.3576 0.0000 Sn
0.8576 0.6424 0.0000 Sn
0.3576 0.8576 0.0000 Sn
0.3413 0.1587 0.5000 Nb
0.6587 0.8413 0.5000 Nb
0.8413 0.3413 0.5000 Nb
0.1587 0.6587 0.5000 Nb
0.0000 0.0000 0.0000 Al
0.5000 0.5000 0.0000 Al
```

=====

In order of decreasing stability: A, B.